# 1
# GdMgZnSn

A relaxed structure of GdMgZnSn (PBE-GGA, Alexandria).

Summary:
DFT total energy, eV for the cell shown: -22.28
Space group: No. 216

a = 5.086 Å, b = 5.086 Å, c = 5.086 Å
α = 60.00°, β = 60.00°, γ = 60.00°
Sites, in units of the cell vectors:
1 Gd 0.000 0.000 0.000
2 Mg 0.500 0.500 0.500
3 Zn 0.250 0.250 0.250
4 Sn 0.750 0.750 0.750


# 2
# Cu4C

A relaxed structure of Cu4C (PBE-GGA, Alexandria).

Summary:
DFT total energy, eV for the cell shown: -22.51
Space group: No. 87

a = 4.703 Å, b = 4.703 Å, c = 4.703 Å
α = 94.37°, β = 94.37°, γ = 147.95°
Sites, in units of the cell vectors:
1 Cu 0.065 0.735 0.800
2 Cu 0.265 0.065 0.329
3 Cu 0.735 0.935 0.671
4 Cu 0.935 0.265 0.200
5 C 0.500 0.500 0.000


# 3
# SiRuPt2

A relaxed structure of SiRuPt2 (PBE-GGA, Alexandria).

Summary:
E_form (uncorrected), kJ/mol of formula units: -41
Space group: No. 139

a = 4.771 Å, b = 4.771 Å, c = 4.771 Å
α = 132.43°, β = 132.43°, γ = 69.56°
Sites, in units of the cell vectors:
1 Si 0.000 0.000 0.000
2 Ru 0.500 0.500 0.000
3 Pt 0.250 0.750 0.500
4 Pt 0.750 0.250 0.500


# 4
# NaNiH6Pd

A relaxed structure of NaNiH6Pd (PBE-GGA, Alexandria).

Summary:
DFT total energy, eV for the cell shown: -32.84
Space group: No. 149

a = 4.696 Å, b = 4.696 Å, c = 4.538 Å
α = 90.00°, β = 90.00°, γ = 120.00°
Sites, in units of the cell vectors:
1 Na 0.000 0.000 0.000
2 Ni 0.667 0.333 0.500
3 H 0.386 0.020 0.680
4 H 0.386 0.366 0.320
5 H 0.634 0.020 0.320
6 H 0.634 0.614 0.680
7 H 0.980 0.366 0.680
8 H 0.980 0.614 0.320
9 Pd 0.333 0.667 0.500


Number 1: Fermi-level density of states 3.4 states/eV/f.u.. Number 2: Fermi-level density of states 2.6 states/eV/f.u.. Number 3: Fermi-level density of states 4.7 states/eV/f.u.. Number 4: Fermi-level density of states 3.5 states/eV/f.u..